The following is a PBE calculation of crystalline BaZrSn2 at its relaxed geometry, from the Alexandria database.

Geometry as CIF:
```
data_BaZrSn2
_space_group_name_H-M_alt 'R -3 m'
_space_group_IT_number 166
_space_group_name_Hall '-R 3 2"'
_cell_length_a 4.7793
_cell_length_b 4.7793
_cell_length_c 20.3441
_cell_angle_alpha 90.00
_cell_angle_beta 90.00
_cell_angle_gamma 120.00
loop_
_atom_site_label
_atom_site_type_symbol
_atom_site_fract_x
_atom_site_fract_y
_atom_site_fract_z
_atom_site_occupancy
Ba1 Ba 0.0000 0.0000 0.0000 1
Zr1 Zr 0.0000 0.0000 0.5000 1
Sn1 Sn 0.0000 0.0000 0.2223 1
```

Properties
Calculated total energy (eV per atom): -4.957
Energy of formation (eV/atom): -0.338

---

The following is a PBE calculation of crystalline BaZrSn2 at its relaxed geometry, from the Alexandria database.

Geometry as CIF:
```
data_BaZrSn2
_space_group_name_H-M_alt 'F m -3 m'
_space_group_IT_number 225
_space_group_name_Hall '-F 4 2 3'
_cell_length_a 7.763
_cell_length_b 7.763
_cell_length_c 7.763
_cell_angle_alpha 90.00
_cell_angle_beta 90.00
_cell_angle_gamma 90.00
loop_
_atom_site_label
_atom_site_type_symbol
_atom_site_fract_x
_atom_site_fract_y
_atom_site_fract_z
_atom_site_occupancy
Ba1 Ba 0.000 0.000 0.000 1
Zr1 Zr 0.000 0.000 0.500 1
Sn1 Sn 0.250 0.250 0.250 1
```

Properties
Calculated total energy (eV per atom): -4.728
Energy of formation (eV/atom): -0.109

---

The following is a PBE calculation of crystalline BaZrSn3 at its relaxed geometry, from the Alexandria database.

Geometry as CIF:
```
data_BaZrSn3
_space_group_name_H-M_alt 'P m -3 m'
_space_group_IT_number 221
_space_group_name_Hall '-P 4 2 3'
_cell_length_a 5.593
_cell_length_b 5.593
_cell_length_c 5.593
_cell_angle_alpha 90.00
_cell_angle_beta 90.00
_cell_angle_gamma 90.00
loop_
_atom_site_label
_atom_site_type_symbol
_atom_site_fract_x
_atom_site_fract_y
_atom_site_fract_z
_atom_site_occupancy
Ba1 Ba 0.000 0.000 0.000 1
Zr1 Zr 0.500 0.500 0.500 1
Sn1 Sn 0.000 0.500 0.500 1
```

Properties
Calculated total energy (eV per atom): -4.800
Energy of formation (eV/atom): -0.304

---

Copy entry 3 word for word.
The following is a PBE calculation of crystalline BaZrSn3 at its relaxed geometry, from the Alexandria database.

Geometry as CIF:
```
data_BaZrSn3
_space_group_name_H-M_alt 'P m -3 m'
_space_group_IT_number 221
_space_group_name_Hall '-P 4 2 3'
_cell_length_a 5.593
_cell_length_b 5.593
_cell_length_c 5.593
_cell_angle_alpha 90.00
_cell_angle_beta 90.00
_cell_angle_gamma 90.00
loop_
_atom_site_label
_atom_site_type_symbol
_atom_site_fract_x
_atom_site_fract_y
_atom_site_fract_z
_atom_site_occupancy
Ba1 Ba 0.000 0.000 0.000 1
Zr1 Zr 0.500 0.500 0.500 1
Sn1 Sn 0.000 0.500 0.500 1
```

Properties
Calculated total energy (eV per atom): -4.800
Energy of formation (eV/atom): -0.304

---

Question: Look up the calculated total energy of the third one.
Answer: -4.800 eV per atom

---

Question: What is the formula in the second record?
Answer: BaZrSn2

---

Question: Which of these has the highest calculated total energy?
Answer: number 2